Here is crystalline AcInPb2Se4 at its relaxed geometry from Alexandria. Energies are from PBE.

Cell lengths 7.689, 7.689, 7.689 Å; angles 131.69, 131.69, 70.73 degrees
Atoms (fractional coordinates):
Ac1 0.000 0.000 0.000
In1 0.750 0.250 0.500
Pb1 0.250 0.750 0.500
Pb2 0.500 0.500 0.000
Se1 0.004 0.504 0.500
Se2 0.248 0.248 0.000
Se3 0.496 0.996 0.500
Se4 0.752 0.752 0.000

V, Å³ per cell: 248
Energy, Ry/atom: -0.327
Formation energy without anion corrections, eV per atom: -0.93